1.
## CrSb2Pb (PBE)

Data for a relaxed structure of CrSb2Pb.

Cell lengths 3.3546, 3.3546, 29.8728 Å; angles 90.00, 90.00, 120.00 degrees
Last column: nearest neighbours and their distance in Å.
Space group R-3m (No. 166, hexagonal axes)
Unique sites:
Cr  0.0000  0.0000  0.0000 (multiplicity 3)  6 Sb 2.69
Sb  0.0000  0.0000  0.2711 (multiplicity 6)  3 Cr 2.69
Pb  0.0000  0.0000  0.5000 (multiplicity 3)  6 Pb 3.35, 6 Sb 3.67


2.
## TmSi3Rh3 (PBE)

Data for a relaxed structure of TmSi3Rh3.

Properties
Distance to the lowest polymorph of the same formula   314 meV/atom

Cell lengths 6.4700, 6.4700, 6.4700 Å; angles 90.00, 90.00, 90.00 degrees
Last column: nearest neighbours and their distance in Å.
Space group Pm-3n (No. 223)
Unique sites:
Tm  0.0000  0.0000  0.0000 (multiplicity 2)  12 Rh 3.62, 12 Si 3.62
Si  0.0000  0.2500  0.5000 (multiplicity 6)  4 Rh 2.29
Rh  0.0000  0.5000  0.2500 (multiplicity 6)  4 Si 2.29


3.
## KSrIn2 (PBE)

Data for a relaxed structure of KSrIn2.

Properties
Calculated formation energy   -0.11 eV per atom
Distance to the lowest polymorph of the same formula   83 meV/atom

Cell lengths 5.3561, 5.3561, 9.2783 Å; angles 90.00, 90.00, 90.00 degrees
Last column: nearest neighbours and their distance in Å.
Space group I-4m2 (No. 119)
Unique sites:
K  0.0000  0.0000  0.0000 (multiplicity 2)  8 In 3.54-3.79, 4 Sr 3.54
Sr  0.0000  0.5000  0.7500 (multiplicity 2)  8 In 3.54-3.79, 4 K 3.54
In  0.0000  0.0000  0.5000 (multiplicity 2)  4 In 3.54, 4 Sr 3.54, 4 K 3.79
In  0.0000  0.5000  0.2500 (multiplicity 2)  4 In 3.54, 4 K 3.54, 4 Sr 3.79


4.
## Tc2TeRh (PBE)

Data for a relaxed structure of Tc2TeRh.

Cell lengths 3.2128, 4.4984, 8.8596 Å; angles 90.00, 90.00, 90.00 degrees
Last column: nearest neighbours and their distance in Å.
Space group Imm2 (No. 44)
Unique sites:
Tc  0.0000  0.0000  0.0000 (multiplicity 2)  2 Te 2.64, 4 Rh 2.78, 2 Tc 2.84
Tc  0.0000  0.5000  0.2351 (multiplicity 2)  4 Te 2.76, 4 Tc 2.84-3.07, 4 Rh 2.89-3.03
Te  0.0000  0.5000  0.7366 (multiplicity 2)  2 Rh 2.57, 6 Tc 2.64-2.76
Rh  0.0000  0.0000  0.4636 (multiplicity 2)  2 Te 2.57, 4 Tc 2.78


The D(E_F) results, record by record, are as follows: 1.4; 5.4; 1.9; 3.4 states/eV/f.u..
The total energy results, record by record, are as follows: -5.21; -6.54; -2.18; -7.52 eV per atom.
The magnetization results, record by record, are as follows: 2.8; 0.0; 0.0; 0.0 μB/cell.